Na2MnPt2O6 after structural relaxation, computed with GGA+U.

* calculated total energy: -64.04 eV per formula unit
* spin magnetization: 0.455 μB/atom

a b c (Å): 5.501 5.501 5.759
angles (deg): 99.00 99.00 121.02
Positions (direct):
Na (0.165, 0.835, 0.000)
Na (0.835, 0.165, 0.000)
Mn (0.000, 0.000, 0.500)
Pt (0.335, 0.665, 0.500)
Pt (0.665, 0.335, 0.500)
O (0.059, 0.416, 0.695)
O (0.279, 0.279, 0.305)
O (0.416, 0.059, 0.695)
O (0.584, 0.941, 0.305)
O (0.721, 0.721, 0.695)
O (0.941, 0.584, 0.305)